(1)
# PBE RbTe4PbAu3, relaxed
data_RbTe4PbAu3
_chemical_formula_sum 'Rb1 Te4 Pb1 Au3'
_space_group_name_H-M_alt 'P -4 3 m'
_space_group_IT_number 215
_space_group_name_Hall 'P -4 2 3'
_cell_length_a 7.0204
_cell_length_b 7.0204
_cell_length_c 7.0204
_cell_angle_alpha 90.00
_cell_angle_beta 90.00
_cell_angle_gamma 90.00
loop_
_atom_site_label
_atom_site_type_symbol
_atom_site_fract_x
_atom_site_fract_y
_atom_site_fract_z
Rb1 Rb 0.0000 0.0000 0.0000
Te1 Te 0.2694 0.2694 0.2694
Pb1 Pb 0.5000 0.5000 0.5000
Au1 Au 0.0000 0.5000 0.5000
# Crystal system: cubic
# Volume, A^3/atom: 38.45

=====

(2)
# PBE Sr2NiB, relaxed
data_Sr2NiB
_chemical_formula_sum 'Sr8 Ni4 B4'
_space_group_name_H-M_alt 'F -4 3 m'
_space_group_IT_number 216
_space_group_name_Hall 'F -4 2 3'
_cell_length_a 6.8342
_cell_length_b 6.8342
_cell_length_c 6.8342
_cell_angle_alpha 90.00
_cell_angle_beta 90.00
_cell_angle_gamma 90.00
loop_
_atom_site_label
_atom_site_type_symbol
_atom_site_fract_x
_atom_site_fract_y
_atom_site_fract_z
Sr1 Sr 0.0000 0.0000 0.0000
Sr2 Sr 0.2500 0.2500 0.2500
Ni1 Ni 0.2500 0.2500 0.7500
B1 B 0.0000 0.0000 0.5000
# Crystal system: cubic
# Volume, A^3/atom: 19.95

=====

(3)
# PBE HfBiOs2, relaxed
data_HfBiOs2
_chemical_formula_sum 'Hf4 Bi4 Os8'
_space_group_name_H-M_alt 'F -4 3 m'
_space_group_IT_number 216
_space_group_name_Hall 'F -4 2 3'
_cell_length_a 6.6505
_cell_length_b 6.6505
_cell_length_c 6.6505
_cell_angle_alpha 90.00
_cell_angle_beta 90.00
_cell_angle_gamma 90.00
loop_
_atom_site_label
_atom_site_type_symbol
_atom_site_fract_x
_atom_site_fract_y
_atom_site_fract_z
Hf1 Hf 0.0000 0.0000 0.0000
Bi1 Bi 0.2500 0.2500 0.7500
Os1 Os 0.0000 0.0000 0.5000
Os2 Os 0.2500 0.2500 0.2500
# Crystal system: cubic
# Volume, A^3/atom: 18.38

=====

(4)
# PBE InAgPdAu, relaxed
data_InAgPdAu
_chemical_formula_sum 'In4 Ag4 Pd4 Au4'
_space_group_name_H-M_alt 'F -4 3 m'
_space_group_IT_number 216
_space_group_name_Hall 'F -4 2 3'
_cell_length_a 6.5943
_cell_length_b 6.5943
_cell_length_c 6.5943
_cell_angle_alpha 90.00
_cell_angle_beta 90.00
_cell_angle_gamma 90.00
loop_
_atom_site_label
_atom_site_type_symbol
_atom_site_fract_x
_atom_site_fract_y
_atom_site_fract_z
In1 In 0.0000 0.0000 0.0000
Ag1 Ag 0.0000 0.0000 0.5000
Pd1 Pd 0.2500 0.2500 0.2500
Au1 Au 0.2500 0.2500 0.7500
# Crystal system: cubic
# Volume, A^3/atom: 17.92

=====

(5)
# PBE PmPuPb6, relaxed
data_PmPuPb6
_chemical_formula_sum 'Pm1 Pu1 Pb6'
_space_group_name_H-M_alt 'P 4/m m m'
_space_group_IT_number 123
_space_group_name_Hall '-P 4 2'
_cell_length_a 4.8789
_cell_length_b 4.8789
_cell_length_c 9.9905
_cell_angle_alpha 90.00
_cell_angle_beta 90.00
_cell_angle_gamma 90.00
loop_
_atom_site_label
_atom_site_type_symbol
_atom_site_fract_x
_atom_site_fract_y
_atom_site_fract_z
Pm1 Pm 0.0000 0.0000 0.0000
Pu1 Pu 0.0000 0.0000 0.5000
Pb1 Pb 0.0000 0.5000 0.2541
Pb2 Pb 0.5000 0.5000 0.0000
Pb3 Pb 0.5000 0.5000 0.5000
# Crystal system: tetragonal
# Volume, A^3/atom: 29.73

=====

(6)
# PBE PrPaPO, relaxed
data_PrPaPO
_chemical_formula_sum 'Pr2 Pa2 P2 O2'
_space_group_name_H-M_alt 'P 4/n m m'
_space_group_IT_number 129
_cell_length_a 4.2567
_cell_length_b 4.2567
_cell_length_c 9.4732
_cell_angle_alpha 90.00
_cell_angle_beta 90.00
_cell_angle_gamma 90.00
loop_
_space_group_symop_operation_xyz
'x,y,z'
'-x,-y,-z'
'-y+1/2,x,z'
'y+1/2,-x,-z'
'-x+1/2,-y+1/2,z'
'x+1/2,y+1/2,-z'
'y,-x+1/2,z'
'-y,x+1/2,-z'
'x+1/2,-y,-z'
'-x+1/2,y,z'
'-y,-x,-z'
'y,x,z'
'-x,y+1/2,-z'
'x,-y+1/2,z'
'y+1/2,x+1/2,-z'
'-y+1/2,-x+1/2,z'
loop_
_atom_site_label
_atom_site_type_symbol
_atom_site_fract_x
_atom_site_fract_y
_atom_site_fract_z
Pr1 Pr 0.2500 0.2500 0.1162
Pa1 Pa 0.2500 0.7500 0.5000
P1 P 0.2500 0.2500 0.7060
O1 O 0.2500 0.7500 0.0000
# Crystal system: tetragonal
# Volume, A^3/atom: 21.46

=====

(7)
# PBE ErTmAl4, relaxed
data_ErTmAl4
_chemical_formula_sum 'Er2 Tm2 Al8'
_space_group_name_H-M_alt 'A m m 2'
_space_group_IT_number 38
_cell_length_a 4.2931
_cell_length_b 4.3027
_cell_length_c 13.2635
_cell_angle_alpha 90.00
_cell_angle_beta 90.00
_cell_angle_gamma 90.00
loop_
_space_group_symop_operation_xyz
'x,y,z'
'-x,-y,z'
'-x,y,z'
'x,-y,z'
'x,y+1/2,z+1/2'
'-x,-y+1/2,z+1/2'
'-x,y+1/2,z+1/2'
'x,-y+1/2,z+1/2'
loop_
_atom_site_label
_atom_site_type_symbol
_atom_site_fract_x
_atom_site_fract_y
_atom_site_fract_z
Er1 Er 0.0000 0.0000 0.0000
Tm1 Tm 0.0000 0.0000 0.3105
Al1 Al 0.0000 0.0000 0.6556
Al2 Al 0.5000 0.0000 0.1556
Al3 Al 0.5000 0.0000 0.4887
Al4 Al 0.5000 0.0000 0.8204
# Crystal system: orthorhombic
# Volume, A^3/atom: 20.42

=====

(8)
# PBE LiZrCuSe3, relaxed
data_LiZrCuSe3
_chemical_formula_sum 'Li4 Zr4 Cu4 Se12'
_space_group_name_H-M_alt 'C m c m'
_space_group_IT_number 63
_space_group_name_Hall '-C 2c 2'
_cell_length_a 3.7704
_cell_length_b 12.9865
_cell_length_c 10.0845
_cell_angle_alpha 90.00
_cell_angle_beta 90.00
_cell_angle_gamma 90.00
loop_
_atom_site_label
_atom_site_type_symbol
_atom_site_fract_x
_atom_site_fract_y
_atom_site_fract_z
Li1 Li 0.0000 0.2171 0.2500
Zr1 Zr 0.0000 0.0000 0.0000
Cu1 Cu 0.0000 0.4762 0.7500
Se1 Se 0.0000 0.0951 0.7500
Se2 Se 0.0000 0.3586 0.5646
# Crystal system: orthorhombic
# Volume, A^3/atom: 20.57

=====

Values of calculated total energy, in order: -2.98, -3.08, -8.46, -3.75, -5.12, -7.44, -4.38, -5.13, all in eV per atom.